{"formula": "Ho5Tl3", "functional": "PBEsol", "state": "optimized geometry", "volume_a3_per_cell": 437.3, "ef_ev_per_atom": -0.355, "energy_ev_per_fu": -35.5, "lattice_angstrom": [[-0.100, 6.164, 1.888], [-8.789, 0.172, -1.025], [3.502, -2.328, 7.787]], "species": ["Ho", "Ho", "Ho", "Ho", "Ho", "Ho", "Ho", "Ho", "Ho", "Ho", "Tl", "Tl", "Tl", "Tl", "Tl", "Tl"], "frac_coords": [[0.000, 0.667, 0.333], [0.500, 0.333, 0.667], [0.000, 0.333, 0.667], [0.500, 0.667, 0.333], [0.750, 0.765, 0.765], [0.750, 0.000, 0.235], [0.750, 0.235, 0.000], [0.250, 0.235, 0.235], [0.250, 0.000, 0.765], [0.250, 0.765, 0.000], [0.750, 0.402, 0.402], [0.750, 0.000, 0.598], [0.750, 0.598, 0.000], [0.250, 0.598, 0.598], [0.250, 0.000, 0.402], [0.250, 0.402, 0.000]]}


{"formula": "Sm2GaAg", "functional": "PBEsol", "state": "optimized geometry", "volume_a3_per_cell": 95.2, "ef_ev_per_atom": -0.428, "energy_ev_per_fu": -18.5, "lattice_angstrom": [[-3.808, -3.411, 0.354], [-1.779, -2.302, -4.219], [0.935, -4.976, -0.792]], "species": ["Sm", "Sm", "Ag", "Ga"], "frac_coords": [[0.750, 0.750, 0.750], [0.250, 0.250, 0.250], [0.000, 0.000, 0.000], [0.500, 0.500, 0.500]]}